Record 1
DFT (GGA-PBE) results for crystalline GeMo2Pt at its relaxed geometry.

The space group is I-42d (No. 122) and the conventional cell measures 5.9745, 5.9745 and 10.2364 Å, with angles of 90.00, 90.00 and 90.00 degrees. The inequivalent atoms are Ge at (0.0000, 0.0000, 0.0000), Mo at (0.2441, 0.2500, 0.6250) and Pt at (0.0000, 0.0000, 0.5000).

The calculation puts the formation energy from the elements at 4.1 eV per formula unit. As for the density of states at the Fermi level: 4.91 states/eV/f.u. The total magnetization comes out at 0.00 μB/f.u.

=====

Record 2
DFT (GGA-PBE) results for crystalline Hf2SbC at its relaxed geometry.

The space group is Fm-3m (No. 225) and the conventional cell measures 6.5983, 6.5983 and 6.5983 Å, with angles of 90.00, 90.00 and 90.00 degrees. The inequivalent atoms are Hf at (0.2500, 0.2500, 0.2500), Sb at (0.0000, 0.0000, 0.0000) and C at (0.0000, 0.0000, 0.5000).

As for the density of states at the Fermi level: 3.39 states/eV/f.u. As for the total energy: -7.668 eV/atom. The total magnetization comes out at 0.00 μB/f.u.

=====

Record 3
DFT (GGA-PBE) results for crystalline CdNi2W at its relaxed geometry.

The space group is Cm (No. 8) and the conventional cell measures 9.4200, 2.6930 and 4.6394 Å, with angles of 90.00, 104.67 and 90.00 degrees. The inequivalent atoms are Cd at (0.0000, 0.0000, 0.0000), Ni at (0.2574, 0.5000, 0.1711), Ni at (0.4736, 0.0000, 0.4883) and W at (0.2183, 0.0000, 0.6380).

The calculation puts the formation energy from the elements at 0.9 eV per formula unit. As for the density of states at the Fermi level: 2.99 states/eV/f.u. The total magnetization comes out at 0.00 μB/f.u.

=====

Record 4
DFT (GGA-PBE) results for crystalline Mg2HgP at its relaxed geometry.

The space group is P2/m (No. 10) and the conventional cell measures 3.3410, 3.4652 and 6.7135 Å, with angles of 90.00, 91.37 and 90.00 degrees. The inequivalent atoms are Mg at (0.0042, 0.0000, 0.2847), Hg at (0.5000, 0.5000, 0.0000) and P at (0.5000, 0.5000, 0.5000).

The calculation puts the formation energy from the elements at -0.8 eV per formula unit. As for the density of states at the Fermi level: 1.22 states/eV/f.u. The total magnetization comes out at 0.00 μB/f.u.

=====

Record 5
DFT (GGA-PBE) results for crystalline EuGa2Ir at its relaxed geometry.

The space group is R-3m (No. 166, hexagonal axes) and the conventional cell measures 4.2730, 4.2730 and 15.9600 Å, with angles of 90.00, 90.00 and 120.00 degrees. The inequivalent atoms are Eu at (0.0000, 0.0000, 0.0000), Ga at (0.0000, 0.0000, 0.2092) and Ir at (0.0000, 0.0000, 0.5000).

The calculation puts the formation energy from the elements at -2.3 eV per formula unit. As for the density of states at the Fermi level: 8.40 states/eV/f.u. The total magnetization comes out at 7.25 μB/f.u.

=====

Record 6
DFT (GGA-PBE) results for crystalline CsZrI3 at its relaxed geometry.

The space group is P4mm (No. 99) and the conventional cell measures 5.3854, 5.3854 and 9.4385 Å, with angles of 90.00, 90.00 and 90.00 degrees. The inequivalent atoms are Cs at (0.0000, 0.0000, 0.0000), Zr at (0.5000, 0.5000, 0.5801), I at (0.0000, 0.0000, 0.3825) and I at (0.0000, 0.5000, 0.7158).

As for the density of states at the Fermi level: 1.88 states/eV/f.u. As for the total energy: -3.313 eV/atom. The total magnetization comes out at 2.00 μB/f.u.

=====

Record 7
DFT (GGA-PBE) results for crystalline MgAgPb2 at its relaxed geometry.

The space group is F-43m (No. 216) and the conventional cell measures 7.4556, 7.4556 and 7.4556 Å, with angles of 90.00, 90.00 and 90.00 degrees. The inequivalent atoms are Mg at (0.0000, 0.0000, 0.0000), Ag at (0.2500, 0.2500, 0.7500), Pb at (0.0000, 0.0000, 0.5000) and Pb at (0.2500, 0.2500, 0.2500).

The calculation puts the formation energy from the elements at 0.3 eV per formula unit. As for the density of states at the Fermi level: 1.21 states/eV/f.u. The total magnetization comes out at 0.00 μB/f.u.

=====

Record 8
DFT (GGA-PBE) results for crystalline In2FeSb at its relaxed geometry.

The space group is Immm (No. 71) and the conventional cell measures 3.1209, 4.3091 and 13.7597 Å, with angles of 90.00, 90.00 and 90.00 degrees. The inequivalent atoms are In at (0.0000, 0.0000, 0.1808), Fe at (0.0000, 0.5000, 0.5000) and Sb at (0.0000, 0.5000, 0.0000).

As for the density of states at the Fermi level: 3.01 states/eV/f.u. As for the total energy: -4.305 eV/atom. The total magnetization comes out at 2.23 μB/f.u.